[1]
A plane-wave DFT calculation with PBE was carried out for a relaxed Np2CuNi3As4 crystal.

## Properties
V: 16.53 Å³ per atom
formation enthalpy at 0 K: -448 meV/atom

```
data_Np2CuNi3As4
_chemical_formula_sum 'Np2 Cu1 Ni3 As4'
_symmetry_space_group_name_H-M 'P -4 m 2'
_symmetry_Int_Tables_number 115
_cell_length_a 4.203
_cell_length_b 4.203
_cell_length_c 9.359
_cell_angle_alpha 90.00
_cell_angle_beta 90.00
_cell_angle_gamma 90.00
loop_
_symmetry_equiv_pos_as_xyz
'x,y,z'
'y,-x,-z'
'-x,-y,z'
'-y,x,-z'
'-x,y,z'
'-y,-x,-z'
'x,-y,z'
'y,x,-z'
loop_
_atom_site_label
_atom_site_type_symbol
_atom_site_fract_x
_atom_site_fract_y
_atom_site_fract_z
Np1 Np 0.000 0.500 0.247
Cu1 Cu 0.000 0.000 0.500
Ni1 Ni 0.000 0.500 0.885
Ni2 Ni 0.500 0.500 0.500
As1 As 0.000 0.000 0.000
As2 As 0.000 0.500 0.637
As3 As 0.500 0.500 0.000
```

[2]
A plane-wave DFT calculation with PBE was carried out for a relaxed Ho2BeNi3P4 crystal.

## Properties
V: 14.19 Å³ per atom
formation enthalpy at 0 K: -881 meV/atom

```
data_Ho2BeNi3P4
_chemical_formula_sum 'Ho2 Be1 Ni3 P4'
_symmetry_space_group_name_H-M 'P -4 m 2'
_symmetry_Int_Tables_number 115
_cell_length_a 3.920
_cell_length_b 3.920
_cell_length_c 9.235
_cell_angle_alpha 90.00
_cell_angle_beta 90.00
_cell_angle_gamma 90.00
loop_
_symmetry_equiv_pos_as_xyz
'x,y,z'
'y,-x,-z'
'-x,-y,z'
'-y,x,-z'
'-x,y,z'
'-y,-x,-z'
'x,-y,z'
'y,x,-z'
loop_
_atom_site_label
_atom_site_type_symbol
_atom_site_fract_x
_atom_site_fract_y
_atom_site_fract_z
Ho1 Ho 0.000 0.500 0.247
Be1 Be 0.000 0.000 0.500
Ni1 Ni 0.000 0.500 0.878
Ni2 Ni 0.500 0.500 0.500
P1 P 0.000 0.000 0.000
P2 P 0.000 0.500 0.633
P3 P 0.500 0.500 0.000
```